(w)
A relaxed structure of MnZn6. Source: Alexandria, functional GGA-PBE.

Cell lengths 7.2376, 7.2376, 7.2376 Å; angles 34.19, 34.19, 34.19 degrees
Closest atoms and distances in Å follow each position.
Fractional coordinates of all 7 atoms:
Mn  0.0000  0.0000  0.0000  14 Zn 2.64-2.94
Zn  0.1294  0.1294  0.1294  4 Zn 2.55-2.67, 1 Mn 2.64
Zn  0.2545  0.2545  0.2545  8 Zn 2.52-2.67
Zn  0.3842  0.3842  0.3842  4 Zn 2.52-2.65, 3 Mn 2.67
Zn  0.6158  0.6158  0.6158  4 Zn 2.52-2.65, 3 Mn 2.67
Zn  0.7455  0.7455  0.7455  8 Zn 2.52-2.67
Zn  0.8706  0.8706  0.8706  4 Zn 2.55-2.67, 1 Mn 2.64

=====

(x)
A relaxed structure of MnZn6. Source: Alexandria, functional GGA-PBE.

Cell lengths 5.9701, 5.9701, 5.9701 Å; angles 109.47, 109.47, 109.47 degrees
Closest atoms and distances in Å follow each position.
Fractional coordinates of all 7 atoms:
Mn  0.0000  0.0000  0.0000  24 Zn 3.85
Zn  0.2500  0.5000  0.7500  4 Zn 2.44
Zn  0.2500  0.7500  0.5000  4 Zn 2.44
Zn  0.5000  0.2500  0.7500  4 Zn 2.44
Zn  0.5000  0.7500  0.2500  4 Zn 2.44
Zn  0.7500  0.2500  0.5000  4 Zn 2.44
Zn  0.7500  0.5000  0.2500  4 Zn 2.44

=====

Which is the most stable structure? (w) is the most stable.

=====

(w)
A relaxed structure of Zr4MnZn. Source: Alexandria, functional GGA-PBE.

Cell lengths 5.6987, 5.6987, 5.6987 Å; angles 60.00, 60.00, 60.00 degrees
Closest atoms and distances in Å follow each position.
Fractional coordinates of all 6 atoms:
Zr  0.1242  0.1242  0.1242  6 Zr 2.83-2.87
Zr  0.1242  0.1242  0.6273  6 Zr 2.83-2.87
Zr  0.1242  0.6273  0.1242  6 Zr 2.83-2.87
Zr  0.6273  0.1242  0.1242  6 Zr 2.83-2.87
Mn  0.7500  0.7500  0.7500  12 Zr 3.34, 4 Zn 3.49
Zn  0.5000  0.5000  0.5000  12 Zr 3.34, 4 Mn 3.49

=====

(x)
A relaxed structure of Zr4MnZn. Source: Alexandria, functional GGA-PBE.

Cell lengths 6.6210, 6.6210, 6.6210 Å; angles 43.71, 43.71, 43.71 degrees
Closest atoms and distances in Å follow each position.
Fractional coordinates of all 6 atoms:
Zr  0.1232  0.1232  0.1232  1 Mn 2.21
Zr  0.3351  0.3351  0.3351  3 Mn 2.85, 3 Zr 2.85, 1 Zn 2.96
Zr  0.6649  0.6649  0.6649  3 Mn 2.85, 3 Zr 2.85, 1 Zn 2.96
Zr  0.8768  0.8768  0.8768  1 Mn 2.21
Mn  0.0000  0.0000  0.0000  2 Zr 2.21
Zn  0.5000  0.5000  0.5000  8 Zr 2.95-2.96

=====

(y)
A relaxed structure of Zr4MnZn. Source: Alexandria, functional GGA-PBE.

Cell lengths 6.5890, 6.5890, 5.4743 Å; angles 90.00, 90.00, 90.00 degrees
Closest atoms and distances in Å follow each position.
Fractional coordinates of all 12 atoms:
Zr  0.1490  0.3230  0.0000  2 Mn 2.71, 2 Zn 2.93
Zr  0.1490  0.6770  0.5000  2 Mn 2.71, 2 Zn 2.93
Zr  0.3230  0.1490  0.5000  2 Mn 2.71, 2 Zn 2.93
Zr  0.3230  0.8510  0.0000  2 Mn 2.71, 2 Zn 2.93
Zr  0.6770  0.1490  0.0000  2 Mn 2.71, 2 Zn 2.93
Zr  0.6770  0.8510  0.5000  2 Mn 2.71, 2 Zn 2.93
Zr  0.8510  0.3230  0.5000  2 Mn 2.71, 2 Zn 2.93
Zr  0.8510  0.6770  0.0000  2 Mn 2.71, 2 Zn 2.93
Mn  0.0000  0.0000  0.2500  8 Zr 2.71, 2 Mn 2.74
Mn  0.0000  0.0000  0.7500  8 Zr 2.71, 2 Mn 2.74
Zn  0.5000  0.5000  0.2500  2 Zn 2.74, 8 Zr 2.93
Zn  0.5000  0.5000  0.7500  2 Zn 2.74, 8 Zr 2.93

=====

Which is the most stable structure? (y) is the most stable.

=====

(w)
A relaxed structure of Zr3MnZn. Source: Alexandria, functional GGA-PBE.

Cell lengths 4.8043, 4.8043, 4.8043 Å; angles 90.00, 90.00, 90.00 degrees
Closest atoms and distances in Å follow each position.
Fractional coordinates of all 5 atoms:
Zr  0.0000  0.0000  0.5000  2 Mn 2.40
Zr  0.0000  0.5000  0.0000  2 Mn 2.40
Zr  0.5000  0.0000  0.0000  2 Mn 2.40
Mn  0.0000  0.0000  0.0000  6 Zr 2.40
Zn  0.5000  0.5000  0.5000  12 Zr 3.40

=====

(x)
A relaxed structure of Zr3MnZn. Source: Alexandria, functional GGA-PBE.

Cell lengths 4.8894, 4.8894, 4.8894 Å; angles 90.00, 90.00, 90.00 degrees
Closest atoms and distances in Å follow each position.
Fractional coordinates of all 5 atoms:
Zr  0.0000  0.0000  0.5000  2 Zn 2.44
Zr  0.0000  0.5000  0.0000  2 Zn 2.44
Zr  0.5000  0.0000  0.0000  2 Zn 2.44
Mn  0.5000  0.5000  0.5000  12 Zr 3.46
Zn  0.0000  0.0000  0.0000  6 Zr 2.44

=====

Which is the most stable structure? (w) is the most stable.

=====

(w)
A relaxed structure of ZrMn4. Source: Alexandria, functional GGA-PBE.

Cell lengths 5.1189, 5.1189, 5.1189 Å; angles 109.47, 109.47, 109.47 degrees
Closest atoms and distances in Å follow each position.
Fractional coordinates of all 5 atoms:
Zr  0.0000  0.0000  0.0000  8 Mn 2.56
Mn  0.0000  0.0000  0.5000  2 Zr 2.56
Mn  0.0000  0.5000  0.0000  2 Zr 2.56
Mn  0.5000  0.0000  0.0000  2 Zr 2.56
Mn  0.5000  0.5000  0.5000  2 Zr 2.56

=====

(x)
A relaxed structure of ZrMn4. Source: Alexandria, functional GGA-PBE.

Cell lengths 4.7360, 4.7360, 4.7360 Å; angles 90.00, 90.00, 90.00 degrees
Closest atoms and distances in Å follow each position.
Fractional coordinates of all 5 atoms:
Zr  0.0000  0.0000  0.0000  6 Mn 2.37
Mn  0.0000  0.0000  0.5000  2 Zr 2.37
Mn  0.0000  0.5000  0.0000  2 Zr 2.37
Mn  0.5000  0.0000  0.0000  2 Zr 2.37
Mn  0.5000  0.5000  0.5000  12 Mn 3.35

=====

Which is the most stable structure? (w) is the most stable.

=====

(w)
A relaxed structure of ZrMn4. Source: Alexandria, functional GGA-PBE.

Cell lengths 4.4536, 4.4536, 4.4536 Å; angles 104.55, 104.55, 119.83 degrees
Closest atoms and distances in Å follow each position.
Fractional coordinates of all 5 atoms:
Zr  0.0000  0.0000  0.0000  16 Mn 2.76-2.94
Mn  0.2027  0.5000  0.7027  3 Mn 2.21-2.29
Mn  0.5000  0.2027  0.7027  3 Mn 2.21-2.29
Mn  0.5000  0.7973  0.2973  3 Mn 2.21-2.29
Mn  0.7973  0.5000  0.2973  3 Mn 2.21-2.29

=====

(x)
A relaxed structure of ZrMn4. Source: Alexandria, functional GGA-PBE.

Cell lengths 5.3939, 5.3939, 5.3939 Å; angles 138.37, 138.37, 60.33 degrees
Closest atoms and distances in Å follow each position.
Fractional coordinates of all 5 atoms:
Zr  0.0000  0.0000  0.0000  16 Mn 2.94-3.02
Mn  0.2500  0.7500  0.5000  4 Mn 2.26
Mn  0.3777  0.3777  0.0000  5 Mn 2.26-2.28
Mn  0.6223  0.6223  0.0000  5 Mn 2.26-2.28
Mn  0.7500  0.2500  0.5000  4 Mn 2.26

=====

Which is the most stable structure? (x) is the most stable.

=====

(w)
A relaxed structure of Mo2N. Source: Alexandria, functional GGA-PBE.

Cell lengths 5.0352, 5.0352, 5.0352 Å; angles 129.85, 129.85, 73.65 degrees
Closest atoms and distances in Å follow each position.
Fractional coordinates of all 6 atoms:
Mo  0.1141  0.3641  0.7500  3 N 2.10-2.14
Mo  0.3641  0.1141  0.2500  3 N 2.10-2.14
Mo  0.6359  0.8859  0.7500  3 N 2.10-2.14
Mo  0.8859  0.6359  0.2500  3 N 2.10-2.14
N  0.3750  0.6250  0.7500  6 Mo 2.10-2.14
N  0.6250  0.3750  0.2500  6 Mo 2.10-2.14

=====

(x)
A relaxed structure of Mo2N. Source: Alexandria, functional GGA-PBE.

Cell lengths 5.2635, 5.2635, 5.2635 Å; angles 32.09, 32.09, 32.09 degrees
Closest atoms and distances in Å follow each position.
Fractional coordinates of all 3 atoms:
Mo  0.2428  0.2428  0.2428  3 N 2.16
Mo  0.7572  0.7572  0.7572  3 N 2.16
N  0.0000  0.0000  0.0000  6 Mo 2.16

=====

(y)
A relaxed structure of Mo2N. Source: Alexandria, functional GGA-PBE.

Cell lengths 4.8985, 5.9943, 5.0728 Å; angles 90.00, 90.00, 90.00 degrees
Closest atoms and distances in Å follow each position.
Fractional coordinates of all 12 atoms:
Mo  0.2457  0.1335  0.0936  3 N 2.07-2.14
Mo  0.2457  0.8665  0.5936  3 N 2.07-2.14
Mo  0.2543  0.3665  0.5936  3 N 2.07-2.14
Mo  0.2543  0.6335  0.0936  3 N 2.07-2.14
Mo  0.7457  0.3665  0.9064  3 N 2.07-2.14
Mo  0.7457  0.6335  0.4064  3 N 2.07-2.14
Mo  0.7543  0.1335  0.4064  3 N 2.07-2.14
Mo  0.7543  0.8665  0.9064  3 N 2.07-2.14
N  0.0000  0.3802  0.2500  6 Mo 2.07-2.14
N  0.0000  0.6198  0.7500  6 Mo 2.07-2.14
N  0.5000  0.1198  0.7500  6 Mo 2.07-2.14
N  0.5000  0.8802  0.2500  6 Mo 2.07-2.14

=====

Which is the most stable structure? (y) is the most stable.